Entry from Alexandria via LeMat-Bulk: a PBEsol-optimized structure of BaTl2InGa (SCAN).

Lattice parameters (Å, degrees): 5.6771 5.6771 5.2488 90.00 90.00 90.00
Last column: nearest neighbours and their distance in Å.
Sites, in units of the cell vectors:
Ba (0.0000, 0.0000, 0.0000)  8 Tl 3.87, 4 Ga 4.01
Tl (0.0000, 0.5000, 0.5000)  2 In 2.84
Tl (0.5000, 0.0000, 0.5000)  2 In 2.84
In (0.5000, 0.5000, 0.5000)  2 Ga 2.62, 4 Tl 2.84
Ga (0.5000, 0.5000, 0.0000)  2 In 2.62

SG = P4/mmm
Magnetization = 0.00 μB/cell
DOS(E_F) = 0.73 states/eV per atom
V = 33.8 Å³/atom
Total DFT energy (no corrections) = -46.824 eV/atom